! Pr3U2Se6 | the Alexandria database | PBE | relaxed; values from VASP
&SYSTEM
  ibrav = 0, nat = 11, ntyp = 3
/
ATOMIC_SPECIES
Pr 140.91 Pr.upf
U 238.03 U.upf
Se 78.96 Se.upf
CELL_PARAMETERS angstrom
2.082 1.202 20.815
-2.082 1.202 20.815
0.000 -2.404 20.815
ATOMIC_POSITIONS crystal
Pr 0.000 0.000 0.000
Pr 0.276 0.276 0.276
Pr 0.724 0.724 0.724
U 0.447 0.447 0.447
U 0.553 0.553 0.553
Se 0.087 0.087 0.087
Se 0.196 0.196 0.196
Se 0.362 0.362 0.362
Se 0.638 0.638 0.638
Se 0.804 0.804 0.804
Se 0.913 0.913 0.913
! Density: 7.29 Mg/m³
! Space group: R-3m, No. 166
! Uncorrected formation energy: -1496 meV/atom
! Volume: 28.42 A^3/atom